# Na2CoH12S2O14

A PBEsol-optimized structure of Na2CoH12S2O14 (SCAN, the Alexandria database).

Values from the calculation:
The crystal system is monoclinic. The total energy comes out at -6.976 eV per atom. As for the space-group type: P2_1/c, No. 14.

The structure in extended XYZ format:
```
62
Lattice="5.894 -0.037 0.000 -1.964 8.493 0.000 0.000 0.000 11.777" Properties=species:S:1:pos:R:3 pbc="T T T"
Na 3.325 2.865 4.069
Na 1.588 1.345 9.958
Na 0.606 5.591 7.708
Na 2.343 7.112 1.819
Co 0.000 0.000 5.889
Co -0.982 4.247 0.000
H 3.690 1.021 6.643
H 1.222 3.189 0.754
H 0.240 7.435 5.134
H 2.708 5.268 11.023
H 1.972 8.171 7.585
H 0.976 4.532 1.696
H 1.958 0.286 4.192
H 2.954 3.924 10.081
H 1.536 1.942 6.827
H 3.377 2.267 0.939
H 2.395 6.514 4.950
H 0.554 6.189 10.838
H 0.048 2.284 7.293
H 4.864 1.925 1.405
H 3.882 6.172 4.484
H -0.934 6.531 10.372
H 0.043 2.273 4.496
H 4.869 1.936 10.385
H 3.887 6.183 7.281
H -0.939 6.520 1.392
H 5.516 1.063 3.521
H -0.603 3.147 9.409
H -1.585 7.394 8.256
H 4.534 5.309 2.368
S 3.430 3.539 7.561
S 1.482 0.670 1.673
S 0.500 4.917 4.216
S 2.448 7.786 10.104
O 4.133 0.126 6.703
O 0.780 4.083 0.815
O -0.202 8.330 5.074
O 3.151 4.373 10.962
O 0.696 1.534 7.182
O 4.217 2.675 1.294
O 3.235 6.922 4.595
O -0.286 5.781 10.483
O 5.305 1.454 4.415
O -0.393 2.755 10.303
O -1.375 7.002 7.362
O 4.323 5.701 1.474
O 4.913 3.604 7.778
O -0.001 0.606 1.889
O -0.983 4.852 3.999
O 3.931 7.851 9.888
O 3.133 2.570 6.463
O 1.779 1.639 0.574
O 0.797 5.886 5.314
O 2.151 6.817 11.203
O 2.760 3.049 8.794
O 2.152 1.161 2.905
O 1.170 5.407 2.983
O 1.778 7.296 8.872
O 2.913 4.875 7.208
O 0.036 7.828 1.319
O 1.018 3.581 4.569
O 3.895 0.629 10.458
```

---

# KCr2Cu

A PBEsol-optimized structure of KCr2Cu (SCAN, the Alexandria database).

Values from the calculation:
The crystal system is tetragonal. The energy of formation from the pure elements comes out at 0.523 eV/atom. As for the space-group type: P4mm, No. 99. The energy above the most stable polymorph in this dataset comes out at 0 meV/atom.

The structure in extended XYZ format:
```
4
Lattice="-0.723 2.096 -2.009 0.266 -2.014 -2.197 -7.698 -1.889 0.799" Properties=species:S:1:pos:R:3 pbc="T T T"
Cr -0.753 -0.185 0.078
Cr -2.051 -0.406 -1.914
Cu -3.263 -0.801 0.339
K -5.937 -1.360 -1.511
```

---

# KLaIr

A PBEsol-optimized structure of KLaIr (SCAN, the Alexandria database).

Values from the calculation:
The crystal system is tetragonal. The energy of formation from the pure elements comes out at -0.155 eV/atom. As for the space-group type: I4mm, No. 107.

The structure in extended XYZ format:
```
3
Lattice="-2.373 2.732 0.549 -2.736 -2.148 -1.140 1.475 -2.641 7.311" Properties=species:S:1:pos:R:3 pbc="T T T"
Ir -3.573 -1.923 6.322
K -2.840 -0.328 1.559
La -0.856 -1.861 5.560
```

---

# FeBrO2

A PBEsol-optimized structure of FeBrO2 (SCAN, the Alexandria database).

Values from the calculation:
The crystal system is trigonal. Its uncorrected formation energy is 0.222 eV per atom. As for the space-group type: R-3m, No. 166.

The structure in extended XYZ format:
```
4
Lattice="-0.956 -2.685 0.144 1.847 -2.175 -0.015 0.750 -1.298 9.027" Properties=species:S:1:pos:R:3 pbc="T T T"
O 0.971 -4.804 1.706
O 0.670 -1.355 7.450
Fe 0.000 0.000 0.000
Br 0.821 -3.079 4.578
```

---

# CaFe2Si2

A PBEsol-optimized structure of CaFe2Si2 (SCAN, the Alexandria database).

Values from the calculation:
The crystal system is tetragonal. Its uncorrected formation energy is -0.346 eV per atom. As for the space-group type: I4/mmm, No. 139.

The structure in extended XYZ format:
```
5
Lattice="-0.597 -3.058 2.389 0.118 -2.430 -3.081 4.988 2.258 0.911" Properties=species:S:1:pos:R:3 pbc="T T T"
Ca 0.000 0.000 0.000
Si 3.452 -0.353 0.410
Si 1.057 -2.877 -0.192
Fe 2.433 -1.458 -1.258
Fe 2.076 -1.772 1.477
```

---

# Hf3NbIn

A PBEsol-optimized structure of Hf3NbIn (SCAN, the Alexandria database).

Values from the calculation:
The crystal system is cubic. The energy of formation from the pure elements comes out at 0.888 eV/atom. As for the space-group type: Pm-3m, No. 221.

The structure in extended XYZ format:
```
5
Lattice="-0.774 0.057 4.934 2.267 -4.432 0.407 4.383 2.302 0.661" Properties=species:S:1:pos:R:3 pbc="T T T"
Nb 0.000 0.000 0.000
Hf 1.133 -2.216 0.203
Hf 2.191 1.151 0.330
Hf -0.387 0.028 2.467
In 2.938 -1.036 3.001
```